Record 1
VASP calculation (PBE) on crystalline Zn5CuPd4 at its relaxed geometry.

formation energy = -0.453 eV/atom
volume = 14.3 A^3/atom
total energy = -35.8 eV/f.u.
symmetry = P4/mmm (123)

a = 3.053 Å, b = 3.053 Å, c = 15.292 Å
α = 90.00°, β = 90.00°, γ = 90.00°
Fractional positions:
Zn  0.500  0.500  0.094
Zn  0.500  0.500  0.297
Zn  0.500  0.500  0.500
Zn  0.500  0.500  0.703
Zn  0.500  0.500  0.906
Cu  0.000  0.000  0.000
Pd  0.000  0.000  0.196
Pd  0.000  0.000  0.399
Pd  0.000  0.000  0.601
Pd  0.000  0.000  0.804

Record 2
VASP calculation (PBE) on crystalline Si2Pb3 at its relaxed geometry.

volume = 26.5 A^3/atom
total energy = -19.8 eV/f.u.
formation energy from raw total energies = 425.1 meV/atom
symmetry = Fdd2 (43)

a = 9.644 Å, b = 6.485 Å, c = 8.285 Å
α = 80.52°, β = 41.55°, γ = 57.93°
Fractional positions:
Si  0.794  0.315  0.462
Si  0.429  0.462  0.315
Si  0.935  0.456  0.821
Si  0.788  0.821  0.456
Pb  0.537  0.788  0.382
Pb  0.294  0.382  0.788
Pb  0.462  0.713  0.956
Pb  0.868  0.956  0.713
Pb  0.947  0.053  0.053
Pb  0.197  0.303  0.303

Record 3
VASP calculation (PBE) on crystalline Ba4Cd3In at its relaxed geometry.

formation energy = -0.304 eV/atom
volume = 40.6 A^3/atom
total energy = -15.6 eV/f.u.
symmetry = Pmm2 (25)

a = 4.523 Å, b = 5.384 Å, c = 13.341 Å
α = 90.00°, β = 90.00°, γ = 90.00°
Fractional positions:
Ba  0.500  0.500  0.354
Ba  0.000  0.500  0.855
Ba  0.000  0.000  0.146
Ba  0.500  0.000  0.643
Cd  0.000  0.500  0.567
Cd  0.000  0.000  0.432
Cd  0.500  0.000  0.932
In  0.500  0.500  0.070

Record 4
VASP calculation (PBE) on crystalline LaIr3 at its relaxed geometry.

formation energy = 0.155 eV/atom
volume = 17.9 A^3/atom
total energy = -30.9 eV/f.u.
symmetry = R-3m (166)

a = 2.911 Å, b = 5.410 Å, c = 5.410 Å
α = 116.86°, β = 79.67°, γ = 79.67°
Fractional positions:
Ir  0.000  0.000  0.000
Ir  0.500  0.000  0.500
Ir  0.500  0.500  0.000
La  0.000  0.500  0.500

Record 5
VASP calculation (PBE) on crystalline YZrP3 at its relaxed geometry.

formation energy = 0.600 eV/atom
volume = 25.7 A^3/atom
total energy = -28.2 eV/f.u.
symmetry = Pm-3m (221)

a = 5.045 Å, b = 5.045 Å, c = 5.045 Å
α = 90.00°, β = 90.00°, γ = 90.00°
Fractional positions:
Y  0.000  0.000  0.000
P  0.000  0.500  0.000
P  0.000  0.000  0.500
P  0.500  0.000  0.000
Zr  0.500  0.500  0.500

Record 6
VASP calculation (PBE) on crystalline LaAlCd at its relaxed geometry.

formation energy = -0.270 eV/atom
volume = 26.6 A^3/atom
total energy = -10.4 eV/f.u.
symmetry = P1 (1)

a = 6.464 Å, b = 8.227 Å, c = 4.507 Å
α = 105.73°, β = 110.42°, γ = 120.87°
Fractional positions:
La  0.826  0.862  0.399
La  0.020  0.496  0.811
Al  0.539  0.344  0.995
Al  0.605  0.029  0.872
Cd  0.327  0.011  0.224
Cd  0.285  0.363  0.378

Record 7
VASP calculation (PBE) on crystalline PmDyY2 at its relaxed geometry.

formation energy = 0.125 eV/atom
volume = 33.0 A^3/atom
total energy = -21.8 eV/f.u.
symmetry = Fm-3m (225)

a = 5.716 Å, b = 5.716 Å, c = 5.716 Å
α = 60.00°, β = 60.00°, γ = 60.00°
Fractional positions:
Y  0.250  0.250  0.250
Y  0.750  0.750  0.750
Pm  0.000  0.000  0.000
Dy  0.500  0.500  0.500

Record 8
VASP calculation (PBE) on crystalline LaScIn2 at its relaxed geometry.

formation energy = -0.357 eV/atom
volume = 27.7 A^3/atom
total energy = -18.2 eV/f.u.
symmetry = Pm (6)

a = 4.822 Å, b = 3.683 Å, c = 6.505 Å
α = 73.49°, β = 90.00°, γ = 90.00°
Fractional positions:
In  0.000  0.208  0.962
In  0.500  0.057  0.259
La  0.000  0.462  0.449
Sc  0.500  0.773  0.830

Look up the total energy of the first one.
-35.8 eV/f.u.